1.
! PBE-GGA Ho2PaTl, optimized geometry; values from VASP
! **Crystal system**: tetragonal
! **E above lowest polymorph**: 0 meV/atom
&SYSTEM
  ibrav = 0, nat = 4, ntyp = 3
/
ATOMIC_SPECIES
Tl 204.38 Tl.upf
Pa 231.04 Pa.upf
Ho 164.93 Ho.upf
CELL_PARAMETERS angstrom
-1.637 -2.218 2.089
-1.222 -1.695 -2.757
7.427 -5.435 0.051
ATOMIC_POSITIONS crystal
Tl 0.500 0.500 0.000
Pa 0.500 0.500 0.500
Ho 0.000 0.000 0.756
Ho 0.000 0.000 0.244

2.
! PBE-GGA HoPaTlZn, optimized geometry; values from VASP
! **Crystal system**: cubic
&SYSTEM
  ibrav = 0, nat = 4, ntyp = 4
/
ATOMIC_SPECIES
Zn 65.41 Zn.upf
Tl 204.38 Tl.upf
Pa 231.04 Pa.upf
Ho 164.93 Ho.upf
CELL_PARAMETERS angstrom
-2.732 4.276 -1.182
-2.156 0.493 -4.717
-5.174 -0.281 -0.542
ATOMIC_POSITIONS crystal
Zn 0.000 0.000 0.000
Tl 0.500 0.500 0.500
Pa 0.750 0.750 0.750
Ho 0.250 0.250 0.250

3.
! PBE-GGA HoTmPa4, optimized geometry; values from VASP
! **Crystal system**: cubic
&SYSTEM
  ibrav = 0, nat = 6, ntyp = 3
/
ATOMIC_SPECIES
Pa 231.04 Pa.upf
Tm 168.93 Tm.upf
Ho 164.93 Ho.upf
CELL_PARAMETERS angstrom
-2.111 3.967 -4.176
1.270 -0.837 -5.943
-4.441 -1.701 -3.876
ATOMIC_POSITIONS crystal
Pa 0.625 0.625 0.125
Pa 0.625 0.125 0.625
Pa 0.625 0.625 0.625
Pa 0.125 0.625 0.625
Tm 0.000 0.000 0.000
Ho 0.250 0.250 0.250

4.
! PBE-GGA HoPaV, optimized geometry; values from VASP
! **Crystal system**: monoclinic
&SYSTEM
  ibrav = 0, nat = 6, ntyp = 3
/
ATOMIC_SPECIES
Ho 164.93 Ho.upf
Pa 231.04 Pa.upf
V 50.94 V.upf
CELL_PARAMETERS angstrom
3.348 0.000 0.000
1.674 5.859 0.125
1.674 2.128 7.171
ATOMIC_POSITIONS crystal
Ho 0.398 0.822 0.381
Ho 0.602 0.178 0.619
Pa 0.135 0.740 0.990
Pa 0.865 0.260 0.010
V 0.833 0.601 0.733
V 0.167 0.399 0.267

5.
! PBE-GGA HoPa2W, optimized geometry; values from VASP
! **Crystal system**: trigonal
&SYSTEM
  ibrav = 0, nat = 4, ntyp = 3
/
ATOMIC_SPECIES
Pa 231.04 Pa.upf
Ho 164.93 Ho.upf
W 183.84 W.upf
CELL_PARAMETERS angstrom
-2.156 2.385 -0.833
-2.855 0.313 1.667
2.810 7.216 6.765
ATOMIC_POSITIONS crystal
Pa 0.260 0.260 0.221
Pa 0.740 0.740 0.779
Ho 0.500 0.500 0.500
W 0.000 0.000 0.000

6.
! PBE-GGA HoPaW, optimized geometry; values from VASP
! **Crystal system**: tetragonal
&SYSTEM
  ibrav = 0, nat = 6, ntyp = 3
/
ATOMIC_SPECIES
W 183.84 W.upf
Pa 231.04 Pa.upf
Ho 164.93 Ho.upf
CELL_PARAMETERS angstrom
3.197 0.000 0.000
0.000 3.197 0.000
-1.599 -1.599 14.373
ATOMIC_POSITIONS crystal
W 0.276 0.276 0.551
W 0.724 0.724 0.449
Pa 0.152 0.152 0.303
Pa 0.848 0.848 0.697
Ho 0.558 0.558 0.115
Ho 0.442 0.442 0.885

7.
! PBE-GGA HoPaW4, optimized geometry; values from VASP
! **Crystal system**: cubic
&SYSTEM
  ibrav = 0, nat = 6, ntyp = 3
/
ATOMIC_SPECIES
Pa 231.04 Pa.upf
Ho 164.93 Ho.upf
W 183.84 W.upf
CELL_PARAMETERS angstrom
-3.802 2.664 3.006
-4.978 1.072 -2.159
-4.457 -2.705 1.848
ATOMIC_POSITIONS crystal
Pa 0.000 0.000 0.000
Ho 0.250 0.250 0.250
W 0.625 0.625 0.124
W 0.625 0.124 0.625
W 0.625 0.625 0.625
W 0.124 0.625 0.625

8.
! PBE-GGA YHoPa, optimized geometry; values from VASP
! **Crystal system**: trigonal
! **E above lowest polymorph**: 0 meV/atom
&SYSTEM
  ibrav = 0, nat = 3, ntyp = 3
/
ATOMIC_SPECIES
Y 88.91 Y.upf
Pa 231.04 Pa.upf
Ho 164.93 Ho.upf
CELL_PARAMETERS angstrom
-0.085 -3.173 -1.290
-0.749 0.528 3.302
-8.217 1.045 -2.031
ATOMIC_POSITIONS crystal
Y 0.333 0.667 0.679
Pa 0.000 0.000 0.001
Ho 0.667 0.333 0.319

9.
! PBE-GGA YHo2Pa, optimized geometry; values from VASP
! **Crystal system**: trigonal
! **E above lowest polymorph**: 108 meV/atom
&SYSTEM
  ibrav = 0, nat = 4, ntyp = 3
/
ATOMIC_SPECIES
Y 88.91 Y.upf
Pa 231.04 Pa.upf
Ho 164.93 Ho.upf
CELL_PARAMETERS angstrom
-3.064 0.025 1.459
-0.320 -0.775 3.288
0.339 11.364 4.464
ATOMIC_POSITIONS crystal
Y 0.000 0.000 0.000
Pa 0.500 0.500 0.500
Ho 0.092 0.092 0.723
Ho 0.908 0.908 0.277

10.
! PBE-GGA Y2HoPa, optimized geometry; values from VASP
! **Crystal system**: cubic
! **E above lowest polymorph**: 229 meV/atom
&SYSTEM
  ibrav = 0, nat = 4, ntyp = 3
/
ATOMIC_SPECIES
Y 88.91 Y.upf
Pa 231.04 Pa.upf
Ho 164.93 Ho.upf
CELL_PARAMETERS angstrom
-1.217 5.103 1.867
-3.493 3.254 -2.867
-5.075 1.091 2.014
ATOMIC_POSITIONS crystal
Y 0.250 0.250 0.251
Y 0.750 0.750 0.749
Pa 0.000 0.000 0.000
Ho 0.500 0.500 0.500

11.
! PBE-GGA YHo2Pa, optimized geometry; values from VASP
! **Crystal system**: tetragonal
! **E above lowest polymorph**: 12 meV/atom
&SYSTEM
  ibrav = 0, nat = 4, ntyp = 3
/
ATOMIC_SPECIES
Y 88.91 Y.upf
Pa 231.04 Pa.upf
Ho 164.93 Ho.upf
CELL_PARAMETERS angstrom
3.416 0.000 0.000
0.000 3.416 0.000
0.000 0.000 10.130
ATOMIC_POSITIONS crystal
Y 0.500 0.500 0.500
Pa 0.500 0.500 0.000
Ho 0.000 0.000 0.768
Ho 0.000 0.000 0.232

12.
! PBE-GGA Y2HoPa, optimized geometry; values from VASP
! **Crystal system**: trigonal
! **E above lowest polymorph**: 0 meV/atom
&SYSTEM
  ibrav = 0, nat = 4, ntyp = 3
/
ATOMIC_SPECIES
Y 88.91 Y.upf
Ho 164.93 Ho.upf
Pa 231.04 Pa.upf
CELL_PARAMETERS angstrom
3.440 0.000 0.000
1.720 2.979 0.000
1.720 0.993 11.544
ATOMIC_POSITIONS crystal
Y 0.086 0.086 0.743
Y 0.247 0.247 0.258
Ho 0.666 0.666 0.001
Pa 0.500 0.500 0.499

13.
! PBE-GGA Y2HoPa, optimized geometry; values from VASP
! **Crystal system**: tetragonal
! **E above lowest polymorph**: 22 meV/atom
&SYSTEM
  ibrav = 0, nat = 4, ntyp = 3
/
ATOMIC_SPECIES
Y 88.91 Y.upf
Pa 231.04 Pa.upf
Ho 164.93 Ho.upf
CELL_PARAMETERS angstrom
-1.931 0.886 -2.673
-0.862 -3.271 -0.461
-8.047 1.243 6.224
ATOMIC_POSITIONS crystal
Y 0.000 0.000 0.765
Y 0.000 0.000 0.235
Pa 0.500 0.500 0.000
Ho 0.500 0.500 0.500

14.
! PBE-GGA YHoPa, optimized geometry; values from VASP
! **Crystal system**: tetragonal
! **E above lowest polymorph**: 31 meV/atom
&SYSTEM
  ibrav = 0, nat = 3, ntyp = 3
/
ATOMIC_SPECIES
Y 88.91 Y.upf
Pa 231.04 Pa.upf
Ho 164.93 Ho.upf
CELL_PARAMETERS angstrom
-3.165 -1.223 0.262
0.564 -0.758 3.269
-1.181 7.841 0.250
ATOMIC_POSITIONS crystal
Y 0.991 0.991 0.982
Pa 0.332 0.332 0.665
Ho 0.677 0.677 0.354

15.
! PBE-GGA YHoPa, optimized geometry; values from VASP
! **Crystal system**: orthorhombic
! **E above lowest polymorph**: 94 meV/atom
&SYSTEM
  ibrav = 0, nat = 6, ntyp = 3
/
ATOMIC_SPECIES
Y 88.91 Y.upf
Ho 164.93 Ho.upf
Pa 231.04 Pa.upf
CELL_PARAMETERS angstrom
-1.964 -3.604 3.775
3.934 -4.918 1.470
-0.494 2.275 6.034
ATOMIC_POSITIONS crystal
Y 0.000 0.836 0.164
Y 0.000 0.164 0.836
Ho 0.500 0.670 0.330
Ho 0.500 0.330 0.670
Pa 0.797 0.703 0.703
Pa 0.203 0.297 0.297

16.
! PBE-GGA YHo2Pa, optimized geometry; values from VASP
! **Crystal system**: trigonal
! **E above lowest polymorph**: 0 meV/atom
&SYSTEM
  ibrav = 0, nat = 4, ntyp = 3
/
ATOMIC_SPECIES
Y 88.91 Y.upf
Ho 164.93 Ho.upf
Pa 231.04 Pa.upf
CELL_PARAMETERS angstrom
-2.239 -2.073 -1.563
-0.790 -3.031 1.393
-9.624 3.216 5.758
ATOMIC_POSITIONS crystal
Y 0.666 0.666 0.001
Ho 0.086 0.086 0.742
Ho 0.247 0.247 0.259
Pa 0.500 0.500 0.499

17.
! PBE-GGA YHo2Pa, optimized geometry; values from VASP
! **Crystal system**: tetragonal
! **E above lowest polymorph**: 182 meV/atom
&SYSTEM
  ibrav = 0, nat = 4, ntyp = 3
/
ATOMIC_SPECIES
Y 88.91 Y.upf
Pa 231.04 Pa.upf
Ho 164.93 Ho.upf
CELL_PARAMETERS angstrom
3.522 0.000 0.000
0.000 5.781 0.000
0.000 0.000 5.781
ATOMIC_POSITIONS crystal
Y 0.500 0.000 0.000
Pa 0.500 0.500 0.500
Ho 0.000 0.000 0.500
Ho 0.000 0.500 0.000

18.
! PBE-GGA HoPa2Zn, optimized geometry; values from VASP
! **Crystal system**: trigonal
&SYSTEM
  ibrav = 0, nat = 4, ntyp = 3
/
ATOMIC_SPECIES
Zn 65.41 Zn.upf
Pa 231.04 Pa.upf
Ho 164.93 Ho.upf
CELL_PARAMETERS angstrom
3.131 0.000 0.000
1.565 2.712 0.000
1.565 0.904 11.459
ATOMIC_POSITIONS crystal
Zn 0.500 0.500 0.500
Pa 0.092 0.092 0.724
Pa 0.908 0.908 0.276
Ho 0.000 0.000 0.000

19.
! PBE-GGA HoPaZn, optimized geometry; values from VASP
! **Crystal system**: tetragonal
! **E above lowest polymorph**: 610 meV/atom
&SYSTEM
  ibrav = 0, nat = 6, ntyp = 3
/
ATOMIC_SPECIES
Pa 231.04 Pa.upf
Zn 65.41 Zn.upf
Ho 164.93 Ho.upf
CELL_PARAMETERS angstrom
-5.000 1.020 1.966
-0.135 -4.986 2.243
2.316 2.097 4.801
ATOMIC_POSITIONS crystal
Pa 0.500 0.500 0.500
Pa 0.000 0.000 0.500
Zn 0.500 0.500 0.000
Zn 0.000 0.000 0.000
Ho 0.500 0.000 0.926
Ho 0.000 0.500 0.074

20.
! PBE-GGA HoPaZn, optimized geometry; values from VASP
! **Crystal system**: trigonal
! **E above lowest polymorph**: 197 meV/atom
&SYSTEM
  ibrav = 0, nat = 3, ntyp = 3
/
ATOMIC_SPECIES
Zn 65.41 Zn.upf
Pa 231.04 Pa.upf
Ho 164.93 Ho.upf
CELL_PARAMETERS angstrom
3.196 0.000 0.000
0.000 5.068 0.000
0.000 -2.534 4.389
ATOMIC_POSITIONS crystal
Zn 0.370 0.333 0.667
Pa 0.040 0.000 0.000
Ho 0.590 0.667 0.333

21.
! PBE-GGA Ho5PaZn4, optimized geometry; values from VASP
! **Crystal system**: tetragonal
&SYSTEM
  ibrav = 0, nat = 10, ntyp = 3
/
ATOMIC_SPECIES
Ho 164.93 Ho.upf
Pa 231.04 Pa.upf
Zn 65.41 Zn.upf
CELL_PARAMETERS angstrom
-1.585 -0.058 -3.113
1.807 -2.862 -0.866
-13.917 -10.991 7.293
ATOMIC_POSITIONS crystal
Ho 0.500 0.500 0.121
Ho 0.500 0.500 0.313
Ho 0.500 0.500 0.500
Ho 0.500 0.500 0.687
Ho 0.500 0.500 0.879
Pa 0.000 0.000 0.000
Zn 0.000 0.000 0.217
Zn 0.000 0.000 0.407
Zn 0.000 0.000 0.593
Zn 0.000 0.000 0.783

22.
! PBE-GGA HoPaZn, optimized geometry; values from VASP
! **Crystal system**: tetragonal
! **E above lowest polymorph**: 0 meV/atom
&SYSTEM
  ibrav = 0, nat = 3, ntyp = 3
/
ATOMIC_SPECIES
Zn 65.41 Zn.upf
Pa 231.04 Pa.upf
Ho 164.93 Ho.upf
CELL_PARAMETERS angstrom
-1.990 -0.706 -2.419
-2.206 -1.003 2.107
-0.506 7.194 0.448
ATOMIC_POSITIONS crystal
Zn 0.665 0.665 0.330
Pa 0.321 0.321 0.641
Ho 0.014 0.014 0.028

23.
! PBE-GGA HoZr2Pa, optimized geometry; values from VASP
! **Crystal system**: trigonal
! **E above lowest polymorph**: 0 meV/atom
&SYSTEM
  ibrav = 0, nat = 4, ntyp = 3
/
ATOMIC_SPECIES
Ho 164.93 Ho.upf
Zr 91.22 Zr.upf
Pa 231.04 Pa.upf
CELL_PARAMETERS angstrom
3.260 0.000 0.000
1.630 2.823 0.000
1.630 0.941 10.963
ATOMIC_POSITIONS crystal
Ho 0.667 0.667 0.999
Zr 0.086 0.086 0.743
Zr 0.248 0.248 0.257
Pa 0.500 0.500 0.500

24.
! PBE-GGA HoZr2Pa, optimized geometry; values from VASP
! **Crystal system**: tetragonal
! **E above lowest polymorph**: 98 meV/atom
&SYSTEM
  ibrav = 0, nat = 4, ntyp = 3
/
ATOMIC_SPECIES
Pa 231.04 Pa.upf
Ho 164.93 Ho.upf
Zr 91.22 Zr.upf
CELL_PARAMETERS angstrom
-0.689 -0.284 4.546
4.469 -1.309 0.596
1.255 4.500 0.472
ATOMIC_POSITIONS crystal
Pa 0.500 0.000 0.000
Ho 0.500 0.500 0.500
Zr 0.000 0.000 0.500
Zr 0.000 0.500 0.000

25.
! PBE-GGA HoZr2Pa, optimized geometry; values from VASP
! **Crystal system**: trigonal
! **E above lowest polymorph**: 205 meV/atom
&SYSTEM
  ibrav = 0, nat = 4, ntyp = 3
/
ATOMIC_SPECIES
Pa 231.04 Pa.upf
Ho 164.93 Ho.upf
Zr 91.22 Zr.upf
CELL_PARAMETERS angstrom
-3.073 -0.993 -0.263
-0.777 -3.066 0.701
-3.191 1.643 11.127
ATOMIC_POSITIONS crystal
Pa 0.500 0.500 0.500
Ho 0.000 0.000 0.000
Zr 0.090 0.090 0.730
Zr 0.910 0.910 0.270

26.
! PBE-GGA HoZr2Pa, optimized geometry; values from VASP
! **Crystal system**: tetragonal
! **E above lowest polymorph**: 11 meV/atom
&SYSTEM
  ibrav = 0, nat = 4, ntyp = 3
/
ATOMIC_SPECIES
Pa 231.04 Pa.upf
Ho 164.93 Ho.upf
Zr 91.22 Zr.upf
CELL_PARAMETERS angstrom
3.830 0.000 0.000
0.000 3.830 0.000
0.000 0.000 7.065
ATOMIC_POSITIONS crystal
Pa 0.500 0.500 0.000
Ho 0.500 0.500 0.500
Zr 0.000 0.000 0.790
Zr 0.000 0.000 0.210

27.
! PBE-GGA Ho2ZrPa, optimized geometry; values from VASP
! **Crystal system**: trigonal
! **E above lowest polymorph**: 155 meV/atom
&SYSTEM
  ibrav = 0, nat = 4, ntyp = 3
/
ATOMIC_SPECIES
Pa 231.04 Pa.upf
Ho 164.93 Ho.upf
Zr 91.22 Zr.upf
CELL_PARAMETERS angstrom
-1.817 -2.637 0.715
1.367 -2.576 1.504
-2.830 2.941 11.191
ATOMIC_POSITIONS crystal
Pa 0.500 0.500 0.500
Ho 0.089 0.089 0.734
Ho 0.911 0.911 0.266
Zr 0.000 0.000 0.000

28.
! PBE-GGA Ho2ZrPa, optimized geometry; values from VASP
! **Crystal system**: trigonal
! **E above lowest polymorph**: 0 meV/atom
&SYSTEM
  ibrav = 0, nat = 4, ntyp = 3
/
ATOMIC_SPECIES
Ho 164.93 Ho.upf
Zr 91.22 Zr.upf
Pa 231.04 Pa.upf
CELL_PARAMETERS angstrom
-1.143 -2.252 -2.154
1.993 -2.425 -1.080
-2.996 -8.048 7.444
ATOMIC_POSITIONS crystal
Ho 0.081 0.081 0.756
Ho 0.252 0.252 0.244
Zr 0.667 0.667 0.000
Pa 0.500 0.500 0.499

29.
! PBE-GGA Ho3Pb2, optimized geometry; values from VASP
! **Crystal system**: trigonal
&SYSTEM
  ibrav = 0, nat = 15, ntyp = 2
/
ATOMIC_SPECIES
Ho 164.93 Ho.upf
Pb 207.20 Pb.upf
CELL_PARAMETERS angstrom
5.252 0.000 0.000
-2.626 7.964 0.612
0.000 -1.102 11.159
ATOMIC_POSITIONS crystal
Ho 0.839 0.679 0.994
Ho 0.161 0.321 0.006
Ho 0.827 0.655 0.340
Ho 0.173 0.345 0.660
Ho 0.167 0.333 0.333
Ho 0.833 0.667 0.667
Ho 0.506 0.012 0.327
Ho 0.494 0.988 0.673
Ho 0.500 0.000 0.000
Pb 0.653 0.307 0.513
Pb 0.347 0.693 0.487
Pb 0.680 0.360 0.153
Pb 0.320 0.640 0.847
Pb 0.987 0.973 0.180
Pb 0.013 0.027 0.820

E_tot: -5.32, -4.38, -7.61, -7.44, -8.70, -8.72, -10.86, -6.72, -6.06, -6.39, -6.15, -6.62, -6.60, -6.69, -6.62, -6.17, -5.98, -5.96, -4.49, -4.90, -3.97, -5.10, -7.70, -7.60, -7.50, -7.69, -6.50, -6.65, -4.55 (eV/atom)